Density functional theory data (PBE) for an optimized crystal structure of GaN2OF.

abc: 3.4003 3.4003 5.1595
angles: 90.00 90.00 90.00
Last column: nearest neighbours and their distance in Å.
Fractional positions:
N 0.0000 0.5000 0.0000  2 O 1.70
N 0.5000 0.0000 0.0000  2 O 1.70
O 0.0000 0.0000 0.0000  4 N 1.70
Ga 0.5000 0.5000 0.5000  4 F 2.40
F 0.0000 0.0000 0.5000  4 Ga 2.40, 2 O 2.58

Properties
As for the total energy: -19.2 eV per cell. Its calculated volume is 59.65 Å³/cell. As for the space-group type: P4/mmm, No. 123.